No. 1
First-principles (SCAN) data for a crystal of ZnPCl2O relaxed with PBEsol, as listed in Alexandria.

The calculation puts the size of the total moment at 0.000 μB per cell. Its total energy is -9.076 eV per atom.

The structure belongs to space group P4/mmm (No. 123); the cell edges are 5.433, 5.433 and 3.278 Å and the angles 90.00°, 90.00° and 90.00°. The inequivalent atoms are Zn at (0.000, 0.000, 0.000), P at (0.500, 0.500, 0.000), Cl at (0.000, 0.500, 0.500) and O at (0.500, 0.500, 0.500).

No. 2
First-principles (SCAN) data for a crystal of Pb2ClO2 relaxed with PBEsol, as listed in Alexandria.

The calculation puts the size of the total moment at 0.001 μB per cell. Its total energy is -35.470 eV per atom.

The structure belongs to space group I4/mmm (No. 139); the cell edges are 3.934, 3.934 and 12.322 Å and the angles 90.00°, 90.00° and 90.00°. The inequivalent atoms are Pb at (0.000, 0.000, 0.151), Cl at (0.000, 0.000, 0.500) and O at (0.000, 0.500, 0.250).

No. 3
First-principles (SCAN) data for a crystal of RePbClO4 relaxed with PBEsol, as listed in Alexandria.

The calculation puts the size of the total moment at 0.000 μB per cell. Its total energy is -27.240 eV per atom.

The structure belongs to space group Pmn2_1 (No. 31); the cell edges are 5.707, 9.407 and 4.359 Å and the angles 90.00°, 90.00° and 90.00°. The inequivalent atoms are Re at (0.000, 0.133, 0.000), Pb at (0.000, 0.676, 0.962), Cl at (0.000, 0.462, 0.418), O at (0.000, 0.131, 0.397), O at (0.000, 0.955, 0.886) and O at (0.244, 0.776, 0.394).

No. 4
First-principles (SCAN) data for a crystal of RuPbClO2 relaxed with PBEsol, as listed in Alexandria.

The calculation puts the size of the total moment at 1.724 μB per cell. Its total energy is -26.805 eV per atom.

The structure belongs to space group P4/mmm (No. 123); the cell edges are 3.994, 3.994 and 4.727 Å and the angles 90.00°, 90.00° and 90.00°. The inequivalent atoms are Ru at (0.000, 0.000, 0.000), Pb at (0.500, 0.500, 0.500), Cl at (0.000, 0.000, 0.500) and O at (0.000, 0.500, 0.000).

No. 5
First-principles (SCAN) data for a crystal of PbS2ClO relaxed with PBEsol, as listed in Alexandria.

The calculation puts the size of the total moment at 3.682 μB per cell. Its total energy is -20.965 eV per atom.

The structure belongs to space group P4/mmm (No. 123); the cell edges are 5.213, 5.213 and 5.248 Å and the angles 90.00°, 90.00° and 90.00°. The inequivalent atoms are Pb at (0.000, 0.000, 0.000), S at (0.000, 0.500, 0.000), Cl at (0.000, 0.000, 0.500) and O at (0.500, 0.500, 0.500).

No. 6
First-principles (SCAN) data for a crystal of SbPbClO2 relaxed with PBEsol, as listed in Alexandria.

The calculation puts the size of the total moment at 0.000 μB per cell. Its total energy is -28.081 eV per atom.

The structure belongs to space group Cmcm (No. 63); the cell edges are 5.587, 12.075 and 5.438 Å and the angles 90.00°, 90.00° and 90.00°. The inequivalent atoms are Sb at (0.000, 0.082, 0.250), Pb at (0.000, 0.380, 0.250), Cl at (0.000, 0.256, 0.750) and O at (0.228, 0.000, 0.000).

No. 7
First-principles (SCAN) data for a crystal of Te2Pb3Cl2O6 relaxed with PBEsol, as listed in Alexandria.

The calculation puts the size of the total moment at 0.000 μB per cell. Its total energy is -28.572 eV per atom.

The structure belongs to space group C2/m (No. 12); the cell edges are 16.311, 5.600 and 10.803 Å and the angles 90.00°, 102.66° and 90.00°. The inequivalent atoms are Te at (0.104, 0.000, 0.049), Te at (0.127, 0.500, 0.598), Pb at (0.020, 0.500, 0.200), Pb at (0.161, 0.000, 0.396), Pb at (0.239, 0.000, 0.800), Cl at (0.043, 0.000, 0.705), Cl at (0.183, 0.500, 0.901), O at (0.000, 0.218, 0.000), O at (0.101, 0.500, 0.420), O at (0.133, 0.236, 0.185) and O at (0.211, 0.258, 0.615).

No. 8
First-principles (SCAN) data for a crystal of V3Pb5ClO12 relaxed with PBEsol, as listed in Alexandria.

The calculation puts the size of the total moment at 0.000 μB per cell. Its total energy is -26.493 eV per atom.

The structure belongs to space group P6_3/m (No. 176); the cell edges are 10.4048, 10.4048 and 7.1816 Å and the angles 90.00°, 90.00° and 120.00°. The inequivalent atoms are V at (0.0282, 0.4134, 0.2500), Pb at (0.0269, 0.7667, 0.2500), Pb at (0.3333, 0.6667, 0.5073), Cl at (0.0000, 0.0000, 0.0000), O at (0.0888, 0.3585, 0.0606), O at (0.1249, 0.6063, 0.2500) and O at (0.1597, 0.6554, 0.7500).

No. 9
First-principles (SCAN) data for a crystal of TiPdCl2O relaxed with PBEsol, as listed in Alexandria.

The calculation puts the size of the total moment at 0.013 μB per cell. Its total energy is -15.456 eV per atom.

The structure belongs to space group P4/mmm (No. 123); the cell edges are 4.824, 4.824 and 3.639 Å and the angles 90.00°, 90.00° and 90.00°. The inequivalent atoms are Ti at (0.000, 0.000, 0.000), Pd at (0.500, 0.500, 0.500), Cl at (0.000, 0.500, 0.000) and O at (0.000, 0.000, 0.500).

No. 10
First-principles (SCAN) data for a crystal of PrSClO4 relaxed with PBEsol, as listed in Alexandria.

The calculation puts the size of the total moment at 0.000 μB per cell. Its total energy is -14.732 eV per atom.

The structure belongs to space group P2_1/c (No. 14); the cell edges are 6.628, 8.076 and 8.505 Å and the angles 90.00°, 114.06° and 90.00°. The inequivalent atoms are Pr at (0.111, 0.198, 0.222), S at (0.279, 0.584, 0.065), Cl at (0.233, 0.036, 0.973), O at (0.123, 0.689, 0.108), O at (0.176, 0.579, 0.870), O at (0.293, 0.086, 0.630) and O at (0.496, 0.661, 0.125).

No. 11
First-principles (SCAN) data for a crystal of Pr2Ta2Cl2O7 relaxed with PBEsol, as listed in Alexandria.

The calculation puts the size of the total moment at 0.000 μB per cell. Its total energy is -24.741 eV per atom.

The structure belongs to space group C2/m (No. 12); the cell edges are 15.391, 3.927 and 6.897 Å and the angles 90.00°, 113.67° and 90.00°. The inequivalent atoms are Pr at (0.192, 0.000, 0.166), Ta at (0.035, 0.500, 0.799), Cl at (0.178, 0.000, 0.567), O at (0.000, 0.500, 0.500), O at (0.044, 0.000, 0.836), O at (0.081, 0.500, 0.151) and O at (0.175, 0.500, 0.930).

No. 12
First-principles (SCAN) data for a crystal of PtClO2 relaxed with PBEsol, as listed in Alexandria.

The calculation puts the size of the total moment at 0.000 μB per cell. Its total energy is -22.486 eV per atom.

The structure belongs to space group I-42d (No. 122); the cell edges are 6.811, 6.811 and 4.884 Å and the angles 90.00°, 90.00° and 90.00°. The inequivalent atoms are Pt at (0.000, 0.000, 0.000), Cl at (0.000, 0.000, 0.500) and O at (0.113, 0.250, 0.125).

| no. | uncorrected formation energy (eV/atom) |
| --- | --- |
| 1 | 0.144 |
| 2 | -1.069 |
| 3 | -1.557 |
| 4 | -0.596 |
| 5 | 0.884 |
| 6 | -1.385 |
| 7 | -1.250 |
| 8 | -2.011 |
| 9 | -1.257 |
| 10 | -2.466 |
| 11 | -3.249 |
| 12 | 0.172 |